Record 1
Here is a relaxed structure of NbSbTeI2 from the Alexandria database. Energies are from GGA-PBE.

```
NbSbTeI2
1.0
5.8046 0.0000 0.0000
0.0000 5.8046 0.0000
0.0000 0.0000 5.9994
I Nb Te Sb
2 1 1 1
Cartesian
0.0000 2.9023 0.0000
2.9023 0.0000 0.0000
2.9023 2.9023 2.9997
0.0000 0.0000 0.0000
0.0000 0.0000 2.9997
```

Output
DFT total energy	-2.851	eV per atom
crystal system	tetragonal
energy above the lowest structure with this stoichiometry	20.751	kcal/mol of atoms
total magnetic moment	3.02	μB/f.u.
formation energy without anion corrections	119.2	kJ per mole of atoms

***

Record 2
Here is a relaxed structure of Hf2SnIr from the Alexandria database. Energies are from GGA-PBE.

```
Hf2SnIr
1.0
-0.9039 -1.4008 -3.1348
2.2585 -2.1461 -1.7029
-2.7948 -7.6265 2.2032
Ir Sn Hf
1 1 2
Cartesian
0.0000 0.0000 0.0000
-0.7201 -5.5867 -1.3172
-0.2091 -2.4937 -0.8361
-1.2311 -8.6797 -1.7984
```

Output
DFT total energy	-8.584	eV per atom
crystal system	trigonal
formation energy from the elements	-0.391	eV/atom
total magnetic moment	0.00	μB/f.u.

***

Record 3
Here is a relaxed structure of Li6SmCd2 from the Alexandria database. Energies are from GGA-PBE.

```
Li6SmCd2
1.0
4.1700 0.0000 0.0000
0.0000 4.1700 0.0000
0.0000 0.0000 11.2850
Li Cd Sm
6 2 1
Cartesian
2.0850 0.0000 7.9165
0.0000 2.0850 7.9165
2.0850 2.0850 5.6425
0.0000 2.0850 3.3685
2.0850 0.0000 3.3685
0.0000 0.0000 5.6425
2.0850 2.0850 1.5072
2.0850 2.0850 9.7778
0.0000 0.0000 0.0000
```

Output
DFT total energy	-2.102	eV per atom
crystal system	tetragonal
formation energy from the elements	-0.098	eV/atom
total magnetic moment	0.16	μB/f.u.

***

Record 4
Here is a relaxed structure of MgZrOF2 from the Alexandria database. Energies are from GGA-PBE.

```
MgZrOF2
1.0
3.7219 0.0000 0.0000
0.0000 3.7219 0.0000
0.0000 0.0000 4.3976
Zr F O Mg
1 2 1 1
Cartesian
1.8609 1.8609 2.1988
0.0000 1.8609 0.0000
1.8609 0.0000 0.0000
0.0000 0.0000 2.1988
0.0000 0.0000 0.0000
```

Output
DFT total energy	-5.992	eV per atom
crystal system	tetragonal
energy above the lowest structure with this stoichiometry	2.506	kcal/mol of atoms
total magnetic moment	1.75	μB/f.u.
formation energy without anion corrections	-214.5	kJ per mole of atoms

***

Record 5
Here is a relaxed structure of Tb12Co6Sb from the Alexandria database. Energies are from GGA-PBE.

```
Tb12Co6Sb
1.0
-7.9620 -1.8901 -1.9597
4.7163 -6.9567 -0.4085
0.2992 3.1374 7.8021
Co Tb Sb
6 12 1
Cartesian
-0.4606 -1.4264 5.9600
0.3200 -5.9028 1.6800
-2.4859 -4.2829 -0.5260
-3.2665 0.1935 3.7540
2.1422 -2.9060 3.4301
-5.0887 -2.8033 2.0039
-2.9378 -2.2638 4.7097
0.0257 -4.3590 4.1153
-2.9771 -4.7885 2.0359
-1.2745 -6.8957 -0.1994
-5.9606 -0.8639 3.5972
0.0306 -0.9208 3.3981
3.0141 -4.8454 1.8368
-4.9331 -3.2990 -0.8476
-0.0087 -3.4455 0.7242
-1.6720 1.1864 5.6333
-2.9721 -1.3503 1.3186
1.9866 -2.4103 6.2816
0.0000 0.0000 0.0000
```

Output
DFT total energy	-5.682	eV per atom
crystal system	cubic
total magnetic moment	0.00	μB/f.u.
formation energy without anion corrections	-28.6	kJ per mole of atoms

***

Record 6
Here is a relaxed structure of MnZn3Pb from the Alexandria database. Energies are from GGA-PBE.

```
MnZn3Pb
1.0
4.8018 0.0000 0.0000
0.0000 4.8018 0.0000
0.0000 0.0000 4.8018
Zn Mn Pb
3 1 1
Cartesian
2.4009 0.0000 0.0000
0.0000 0.0000 2.4009
0.0000 2.4009 0.0000
0.0000 0.0000 0.0000
2.4009 2.4009 2.4009
```

Output
DFT total energy	-2.855	eV per atom
crystal system	cubic
formation energy from the elements	0.485	eV/atom
energy above the lowest structure with this stoichiometry	0.000	kcal/mol of atoms
total magnetic moment	2.75	μB/f.u.